Entry 1:
Compound: Zr2HgPb
Source: the Alexandria database
Functional: PBE
Structure: relaxed

extended XYZ file:
```
4
Lattice="5.321 0.000 0.000 0.000 3.231 -0.017 0.000 0.284 5.337" Properties=species:S:1:pos:R:3 pbc="T T T"
Zr 0.000 0.505 4.986
Pb 2.660 2.316 4.381
Hg 0.000 2.052 2.232
Zr 2.660 0.685 1.717
```

Summary:
Energy of formation from the pure elements ... -0.077 eV per atom
Symmetry ... Pm, No. 6
DOS at the Fermi energy ... 0.9863 states/eV/atom
Volume ... 22.9 Å³ per atom
Final energy ... -0.3935 Ry/atom

=====

Entry 2:
Compound: La2YOs
Source: the Alexandria database
Functional: PBE
Structure: relaxed

extended XYZ file:
```
4
Lattice="-3.003 -5.286 0.633 -0.421 -2.474 5.573 -0.942 5.447 -2.608" Properties=species:S:1:pos:R:3 pbc="T T T"
La 0.000 0.000 0.000
Os -1.537 -0.454 3.034
Y -2.828 -1.860 0.564
La -1.712 -3.880 3.103
```

Summary:
Energy of formation from the pure elements ... 0.260 eV per atom
Symmetry ... I4/mmm, No. 139
DOS at the Fermi energy ... 1.1863 states/eV/atom
Volume ... 25.6 Å³ per atom
Final energy ... -0.4871 Ry/atom

=====

Entry 3:
Compound: YUSe4
Source: the Alexandria database
Functional: PBE
Structure: relaxed

extended XYZ file:
```
12
Lattice="-2.769 -0.861 -2.981 -3.520 -4.209 4.485 -6.568 11.829 2.683" Properties=species:S:1:pos:R:3 pbc="T T T"
Y 0.000 0.000 0.000
Se -6.124 1.554 2.339
Se -8.024 7.899 5.171
Se -7.743 9.459 1.560
Se -3.076 3.975 1.707
U -3.144 -2.535 0.752
Se -9.781 2.783 2.480
Y -4.668 5.484 -0.149
U -5.044 3.810 3.584
Se -4.833 -1.140 -0.983
Se -5.114 -2.701 2.628
Se -6.733 5.205 1.849
```

Summary:
Energy relative to the elements, uncorrected ... -1.382 eV/atom
Symmetry ... C2/m, No. 12
DOS at the Fermi energy ... 0.7547 states/eV/atom
Volume ... 33.5 Å³ per atom
Final energy ... -0.4898 Ry/atom

=====

Entry 4:
Compound: GaSeBr
Source: the Alexandria database
Functional: PBE
Structure: relaxed

extended XYZ file:
```
6
Lattice="3.900 0.000 0.000 0.000 5.643 0.000 0.000 0.000 8.623" Properties=species:S:1:pos:R:3 pbc="T T T"
Se 1.950 3.195 5.455
Se 0.000 0.374 3.169
Ga 0.000 4.732 5.267
Ga 1.950 1.910 3.356
Br 0.000 0.347 7.214
Br 1.950 3.169 1.410
```

Summary:
Energy relative to the elements, uncorrected ... -0.719 eV/atom
Symmetry ... Pmn2_1, No. 31
DOS at the Fermi energy ... 0.0000 states/eV/atom
Volume ... 31.6 Å³ per atom
Final energy ... -0.2534 Ry/atom

=====

Entry 5:
Compound: Ce2DyYS4
Source: the Alexandria database
Functional: PBE
Structure: relaxed

extended XYZ file:
```
8
Lattice="3.944 0.000 0.000 0.000 6.841 0.102 0.000 -2.376 6.520" Properties=species:S:1:pos:R:3 pbc="T T T"
S 0.000 4.541 1.633
Ce 0.000 2.233 3.311
S 1.972 1.114 1.579
Dy 0.000 0.000 0.000
Y 1.972 3.421 0.051
Ce 1.972 -1.188 3.260
S 1.972 3.351 5.043
S 0.000 -0.076 4.989
```

Summary:
Energy relative to the elements, uncorrected ... -2.031 eV/atom
Symmetry ... P2/m, No. 10
DOS at the Fermi energy ... 1.3709 states/eV/atom
Volume ... 22.1 Å³ per atom
Final energy ... -0.5117 Ry/atom

=====

Entry 6:
Compound: CoAs2Rh2
Source: the Alexandria database
Functional: PBE
Structure: relaxed

extended XYZ file:
```
10
Lattice="-6.692 0.076 0.292 0.147 -4.854 4.614 0.129 2.259 2.372" Properties=species:S:1:pos:R:3 pbc="T T T"
Co 0.000 0.000 0.000
Co -3.272 -2.389 2.453
As -2.175 -4.069 3.992
As -4.370 -0.710 0.914
Rh -2.278 0.444 1.966
As -0.997 -1.656 1.631
Rh -0.822 -1.999 4.213
Rh -5.594 -0.521 3.066
As -5.548 -3.123 3.275
Rh -4.138 -2.964 5.312
```

Summary:
Energy of formation from the pure elements ... -0.011 eV per atom
Symmetry ... P4/mbm, No. 127
DOS at the Fermi energy ... 0.8971 states/eV/atom
Volume ... 14.7 Å³ per atom
Final energy ... -0.4581 Ry/atom

=====

Values for M_tot, μB/f.u., ordered as above
0.0, 0.0, 1.0, 0.0, 1.6, 1.0